# 1
# Sr2BiAs | Alexandria | meta-GGA SCAN | PBEsol geometry
data_Sr2BiAs
_symmetry_space_group_name_H-M 'P 1'
_symmetry_Int_Tables_number 1
_cell_length_a 5.5725
_cell_length_b 5.5725
_cell_length_c 5.5725
_cell_angle_alpha 60.00
_cell_angle_beta 60.00
_cell_angle_gamma 60.00
loop_
_symmetry_equiv_pos_as_xyz
'x,y,z'
loop_
_atom_site_label
_atom_site_type_symbol
_atom_site_fract_x
_atom_site_fract_y
_atom_site_fract_z
Sr1 Sr 0.2500 0.2500 0.2500
Sr2 Sr 0.7500 0.7500 0.7500
Bi1 Bi 0.0000 0.0000 0.0000
As1 As 0.5000 0.5000 0.5000
# Total magnetic moment: 0.00 μB/cell
# Calculated volume: 30.589 Å³/atom
# Energy of formation from the pure elements: -0.83 eV/atom

***

# 2
# Sr2BiAs2 | Alexandria | meta-GGA SCAN | PBEsol geometry
data_Sr2BiAs2
_symmetry_space_group_name_H-M 'P 1'
_symmetry_Int_Tables_number 1
_cell_length_a 8.0845
_cell_length_b 8.0845
_cell_length_c 4.2638
_cell_angle_alpha 90.00
_cell_angle_beta 90.00
_cell_angle_gamma 90.00
loop_
_symmetry_equiv_pos_as_xyz
'x,y,z'
loop_
_atom_site_label
_atom_site_type_symbol
_atom_site_fract_x
_atom_site_fract_y
_atom_site_fract_z
Sr1 Sr 0.1522 0.3478 0.0000
Sr2 Sr 0.3478 0.8478 0.0000
Sr3 Sr 0.6522 0.1522 0.0000
Sr4 Sr 0.8478 0.6522 0.0000
Bi1 Bi 0.0000 0.0000 0.5000
Bi2 Bi 0.5000 0.5000 0.5000
As1 As 0.1534 0.6534 0.5000
As2 As 0.3466 0.1534 0.5000
As3 As 0.6534 0.8466 0.5000
As4 As 0.8466 0.3466 0.5000
# Total magnetic moment: 0.43 μB/cell
# Calculated volume: 27.868 Å³/atom
# Energy of formation from the pure elements: -0.91 eV/atom

***

# 3
# SrZn2BiAs | Alexandria | meta-GGA SCAN | PBEsol geometry
data_SrZn2BiAs
_symmetry_space_group_name_H-M 'P 1'
_symmetry_Int_Tables_number 1
_cell_length_a 5.0928
_cell_length_b 5.0928
_cell_length_c 6.3842
_cell_angle_alpha 90.00
_cell_angle_beta 90.00
_cell_angle_gamma 90.00
loop_
_symmetry_equiv_pos_as_xyz
'x,y,z'
loop_
_atom_site_label
_atom_site_type_symbol
_atom_site_fract_x
_atom_site_fract_y
_atom_site_fract_z
Sr1 Sr 0.0000 0.0000 0.0000
Zn1 Zn 0.0000 0.5000 0.5000
Zn2 Zn 0.5000 0.0000 0.5000
Bi1 Bi 0.0000 0.0000 0.5000
As1 As 0.5000 0.5000 0.0000
# Total magnetic moment: 0.89 μB/cell
# Calculated volume: 33.117 Å³/atom
# Energy of formation from the pure elements: 0.30 eV/atom

***

# 4
# Sr2ZrBiAs | Alexandria | meta-GGA SCAN | PBEsol geometry
data_Sr2ZrBiAs
_symmetry_space_group_name_H-M 'P 1'
_symmetry_Int_Tables_number 1
_cell_length_a 6.1361
_cell_length_b 6.1361
_cell_length_c 5.4382
_cell_angle_alpha 90.00
_cell_angle_beta 90.00
_cell_angle_gamma 90.00
loop_
_symmetry_equiv_pos_as_xyz
'x,y,z'
loop_
_atom_site_label
_atom_site_type_symbol
_atom_site_fract_x
_atom_site_fract_y
_atom_site_fract_z
Sr1 Sr 0.0000 0.5000 0.0000
Sr2 Sr 0.5000 0.0000 0.0000
Zr1 Zr 0.0000 0.0000 0.5000
Bi1 Bi 0.5000 0.5000 0.0000
As1 As 0.5000 0.5000 0.5000
# Total magnetic moment: 3.08 μB/cell
# Calculated volume: 40.951 Å³/atom
# Energy of formation from the pure elements: 0.59 eV/atom

***

# 5
# Ta3BiAs | Alexandria | meta-GGA SCAN | PBEsol geometry
data_Ta3BiAs
_symmetry_space_group_name_H-M 'P 1'
_symmetry_Int_Tables_number 1
_cell_length_a 4.7554
_cell_length_b 4.7554
_cell_length_c 4.7554
_cell_angle_alpha 90.00
_cell_angle_beta 90.00
_cell_angle_gamma 90.00
loop_
_symmetry_equiv_pos_as_xyz
'x,y,z'
loop_
_atom_site_label
_atom_site_type_symbol
_atom_site_fract_x
_atom_site_fract_y
_atom_site_fract_z
Ta1 Ta 0.0000 0.0000 0.5000
Ta2 Ta 0.0000 0.5000 0.0000
Ta3 Ta 0.5000 0.0000 0.0000
Bi1 Bi 0.5000 0.5000 0.5000
As1 As 0.0000 0.0000 0.0000
# Total magnetic moment: 0.00 μB/cell
# Calculated volume: 21.508 Å³/atom
# Energy of formation from the pure elements: 0.99 eV/atom

***

# 6
# TcBi3As | Alexandria | meta-GGA SCAN | PBEsol geometry
data_TcBi3As
_symmetry_space_group_name_H-M 'P 1'
_symmetry_Int_Tables_number 1
_cell_length_a 5.3970
_cell_length_b 5.3970
_cell_length_c 5.3970
_cell_angle_alpha 90.00
_cell_angle_beta 90.00
_cell_angle_gamma 90.00
loop_
_symmetry_equiv_pos_as_xyz
'x,y,z'
loop_
_atom_site_label
_atom_site_type_symbol
_atom_site_fract_x
_atom_site_fract_y
_atom_site_fract_z
Tc1 Tc 0.0000 0.0000 0.0000
Bi1 Bi 0.0000 0.5000 0.5000
Bi2 Bi 0.5000 0.0000 0.5000
Bi3 Bi 0.5000 0.5000 0.0000
As1 As 0.5000 0.5000 0.5000
# Distance to the lowest polymorph of the same formula: 634.8 meV per atom
# Total magnetic moment: 3.76 μB/cell
# Calculated volume: 31.441 Å³/atom
# Energy of formation from the pure elements: 1.34 eV/atom

***

# 7
# TcBi3As | Alexandria | meta-GGA SCAN | PBEsol geometry
data_TcBi3As
_symmetry_space_group_name_H-M 'P 1'
_symmetry_Int_Tables_number 1
_cell_length_a 5.1884
_cell_length_b 5.1884
_cell_length_c 5.1884
_cell_angle_alpha 90.00
_cell_angle_beta 90.00
_cell_angle_gamma 90.00
loop_
_symmetry_equiv_pos_as_xyz
'x,y,z'
loop_
_atom_site_label
_atom_site_type_symbol
_atom_site_fract_x
_atom_site_fract_y
_atom_site_fract_z
Tc1 Tc 0.0000 0.0000 0.0000
Bi1 Bi 0.0000 0.0000 0.5000
Bi2 Bi 0.0000 0.5000 0.0000
Bi3 Bi 0.5000 0.0000 0.0000
As1 As 0.5000 0.5000 0.5000
# Distance to the lowest polymorph of the same formula: 0.0 meV per atom
# Total magnetic moment: 0.00 μB/cell
# Calculated volume: 27.934 Å³/atom
# Energy of formation from the pure elements: 0.70 eV/atom

***

# 8
# Ti2BiAs2 | Alexandria | meta-GGA SCAN | PBEsol geometry
data_Ti2BiAs2
_symmetry_space_group_name_H-M 'P 1'
_symmetry_Int_Tables_number 1
_cell_length_a 5.5407
_cell_length_b 5.5407
_cell_length_c 5.5407
_cell_angle_alpha 129.78
_cell_angle_beta 129.78
_cell_angle_gamma 73.77
loop_
_symmetry_equiv_pos_as_xyz
'x,y,z'
loop_
_atom_site_label
_atom_site_type_symbol
_atom_site_fract_x
_atom_site_fract_y
_atom_site_fract_z
Ti1 Ti 0.2500 0.7500 0.5000
Ti2 Ti 0.7500 0.2500 0.5000
Bi1 Bi 0.0000 0.0000 0.0000
As1 As 0.3597 0.3597 0.0000
As2 As 0.6403 0.6403 0.0000
# Total magnetic moment: 0.00 μB/cell
# Calculated volume: 19.604 Å³/atom
# Energy of formation from the pure elements: -0.50 eV/atom

***

What did the fourth record say?
# Sr2ZrBiAs | Alexandria | meta-GGA SCAN | PBEsol geometry
data_Sr2ZrBiAs
_symmetry_space_group_name_H-M 'P 1'
_symmetry_Int_Tables_number 1
_cell_length_a 6.1361
_cell_length_b 6.1361
_cell_length_c 5.4382
_cell_angle_alpha 90.00
_cell_angle_beta 90.00
_cell_angle_gamma 90.00
loop_
_symmetry_equiv_pos_as_xyz
'x,y,z'
loop_
_atom_site_label
_atom_site_type_symbol
_atom_site_fract_x
_atom_site_fract_y
_atom_site_fract_z
Sr1 Sr 0.0000 0.5000 0.0000
Sr2 Sr 0.5000 0.0000 0.0000
Zr1 Zr 0.0000 0.0000 0.5000
Bi1 Bi 0.5000 0.5000 0.0000
As1 As 0.5000 0.5000 0.5000
# Total magnetic moment: 3.08 μB/cell
# Calculated volume: 40.951 Å³/atom
# Energy of formation from the pure elements: 0.59 eV/atom

***

Repeat the fifth record exactly.
# Ta3BiAs | Alexandria | meta-GGA SCAN | PBEsol geometry
data_Ta3BiAs
_symmetry_space_group_name_H-M 'P 1'
_symmetry_Int_Tables_number 1
_cell_length_a 4.7554
_cell_length_b 4.7554
_cell_length_c 4.7554
_cell_angle_alpha 90.00
_cell_angle_beta 90.00
_cell_angle_gamma 90.00
loop_
_symmetry_equiv_pos_as_xyz
'x,y,z'
loop_
_atom_site_label
_atom_site_type_symbol
_atom_site_fract_x
_atom_site_fract_y
_atom_site_fract_z
Ta1 Ta 0.0000 0.0000 0.5000
Ta2 Ta 0.0000 0.5000 0.0000
Ta3 Ta 0.5000 0.0000 0.0000
Bi1 Bi 0.5000 0.5000 0.5000
As1 As 0.0000 0.0000 0.0000
# Total magnetic moment: 0.00 μB/cell
# Calculated volume: 21.508 Å³/atom
# Energy of formation from the pure elements: 0.99 eV/atom

***

> Number 8 is which compound?

Ti2BiAs2